The following is a DFT calculation (PBE) of crystalline CaCoSCl2 at its relaxed geometry.

As for the theoretical density: 2.307 g/cm3. For the energy above the lowest structure with this stoichiometry, the calculation gives 737 meV per atom. For the formation energy without anion corrections, the calculation gives -225 meV/atom. The space group is P4/mmm (123).

abc: 5.118 5.118 5.550
angles: 90.00 90.00 90.00
Last column: magnetic moment on the atom in μB.
Fractional coordinates of all 5 atoms:
S: 0.000 0.000 0.500  0.01
Cl: 0.000 0.500 0.000  0.01
Cl: 0.500 0.000 0.000  0.01
Ca: 0.000 0.000 0.000  0.00
Co: 0.500 0.500 0.500  2.34